Compound: TaIrRh
Source: the Alexandria database
Functional: SCAN
Structure: PBEsol geometry

Properties
- total energy (eV per atom) = -57.13
- total magnetization (μB per formula unit) = 0.00
- formation energy from the elements (eV per atom) = 0.018
- DOS at the Fermi energy (states/eV per cell) = 19.18

Cell lengths 5.994, 5.994, 5.994 Å; angles 90.00, 90.00, 90.00 degrees
Fractional coordinates of all 12 atoms:
Ta (0.000, 0.000, 0.000)
Ta (0.000, 0.500, 0.500)
Ta (0.500, 0.000, 0.500)
Ta (0.500, 0.500, 0.000)
Ir (0.250, 0.250, 0.750)
Ir (0.250, 0.750, 0.250)
Ir (0.750, 0.250, 0.250)
Ir (0.750, 0.750, 0.750)
Rh (0.000, 0.000, 0.500)
Rh (0.000, 0.500, 0.000)
Rh (0.500, 0.000, 0.000)
Rh (0.500, 0.500, 0.500)

Compound: TaIrRh2
Source: the Alexandria database
Functional: SCAN
Structure: PBEsol geometry

Properties
- total energy (eV per atom) = -51.40
- total magnetization (μB per formula unit) = 0.00
- formation energy from the elements (eV per atom) = -0.093
- offset from the most stable computed form (kJ/mol of formula units) = 249
- DOS at the Fermi energy (states/eV per cell) = 32.14

Cell lengths 6.182, 6.182, 6.182 Å; angles 90.00, 90.00, 90.00 degrees
Fractional coordinates of all 16 atoms:
Ta (0.000, 0.000, 0.000)
Ta (0.000, 0.500, 0.500)
Ta (0.500, 0.000, 0.500)
Ta (0.500, 0.500, 0.000)
Ir (0.000, 0.000, 0.500)
Ir (0.000, 0.500, 0.000)
Ir (0.500, 0.000, 0.000)
Ir (0.500, 0.500, 0.500)
Rh (0.250, 0.250, 0.250)
Rh (0.250, 0.250, 0.750)
Rh (0.250, 0.750, 0.250)
Rh (0.250, 0.750, 0.750)
Rh (0.750, 0.250, 0.250)
Rh (0.750, 0.250, 0.750)
Rh (0.750, 0.750, 0.250)
Rh (0.750, 0.750, 0.750)

Compound: TaIrRh2
Source: the Alexandria database
Functional: SCAN
Structure: PBEsol geometry

Properties
- total energy (eV per atom) = -52.04
- total magnetization (μB per formula unit) = 0.00
- formation energy from the elements (eV per atom) = -0.737
- offset from the most stable computed form (kJ/mol of formula units) = 0
- DOS at the Fermi energy (states/eV per cell) = 1.48

Cell lengths 3.849, 3.849, 3.872 Å; angles 90.00, 90.00, 90.00 degrees
Fractional coordinates of all 4 atoms:
Ta (0.000, 0.000, 0.000)
Ir (0.500, 0.500, 0.000)
Rh (0.000, 0.500, 0.500)
Rh (0.500, 0.000, 0.500)

Compound: TcIrRh
Source: the Alexandria database
Functional: SCAN
Structure: PBEsol geometry

Properties
- total energy (eV per atom) = -46.83
- total magnetization (μB per formula unit) = 0.00
- formation energy from the elements (eV per atom) = -0.184
- offset from the most stable computed form (kJ/mol of formula units) = 0
- DOS at the Fermi energy (states/eV per cell) = 6.21

Cell lengths 2.680, 3.809, 8.084 Å; angles 90.00, 90.00, 90.00 degrees
Fractional coordinates of all 6 atoms:
Tc (0.000, 0.000, 0.000)
Tc (0.500, 0.500, 0.500)
Ir (0.000, 0.000, 0.662)
Ir (0.500, 0.500, 0.162)
Rh (0.000, 0.000, 0.333)
Rh (0.500, 0.500, 0.833)

Compound: TcIrRh
Source: the Alexandria database
Functional: SCAN
Structure: PBEsol geometry

Properties
- total energy (eV per atom) = -46.78
- total magnetization (μB per formula unit) = 0.00
- formation energy from the elements (eV per atom) = -0.137
- offset from the most stable computed form (kJ/mol of formula units) = 14
- DOS at the Fermi energy (states/eV per cell) = 2.72

Cell lengths 2.690, 2.690, 6.602 Å; angles 90.00, 90.00, 120.00 degrees
Fractional coordinates of all 3 atoms:
Tc (0.000, 0.000, 0.000)
Ir (0.333, 0.667, 0.674)
Rh (0.667, 0.333, 0.327)

Compound: TcIrRh
Source: the Alexandria database
Functional: SCAN
Structure: PBEsol geometry

Properties
- total energy (eV per atom) = -46.82
- total magnetization (μB per formula unit) = 0.00
- formation energy from the elements (eV per atom) = -0.180
- offset from the most stable computed form (kJ/mol of formula units) = 1
- DOS at the Fermi energy (states/eV per cell) = 5.35

Cell lengths 2.692, 2.692, 11.415 Å; angles 90.00, 90.00, 90.00 degrees
Fractional coordinates of all 6 atoms:
Tc (0.000, 0.000, 0.000)
Tc (0.500, 0.500, 0.500)
Ir (0.000, 0.000, 0.338)
Ir (0.500, 0.500, 0.838)
Rh (0.000, 0.000, 0.663)
Rh (0.500, 0.500, 0.163)

Compound: Tc2IrRh
Source: the Alexandria database
Functional: SCAN
Structure: PBEsol geometry

Properties
- total energy (eV per atom) = -43.90
- total magnetization (μB per formula unit) = 0.00
- formation energy from the elements (eV per atom) = -0.148
- offset from the most stable computed form (kJ/mol of formula units) = 63
- DOS at the Fermi energy (states/eV per cell) = 7.23

Cell lengths 8.929, 2.670, 4.700 Å; angles 90.00, 99.56, 90.00 degrees
Fractional coordinates of all 8 atoms:
Tc (0.000, 0.000, 0.000)
Tc (0.249, 0.000, 0.739)
Tc (0.500, 0.500, 0.000)
Tc (0.749, 0.500, 0.739)
Ir (0.246, 0.500, 0.235)
Ir (0.746, 0.000, 0.235)
Rh (0.000, 0.500, 0.502)
Rh (0.500, 0.000, 0.502)

Compound: Tc2IrRh
Source: the Alexandria database
Functional: SCAN
Structure: PBEsol geometry

Properties
- total energy (eV per atom) = -44.06
- total magnetization (μB per formula unit) = 0.00
- formation energy from the elements (eV per atom) = -0.311
- offset from the most stable computed form (kJ/mol of formula units) = 0
- DOS at the Fermi energy (states/eV per cell) = 2.16

Cell lengths 2.691, 4.306, 4.736 Å; angles 90.00, 90.00, 90.00 degrees
Fractional coordinates of all 4 atoms:
Tc (0.000, 0.000, 0.000)
Tc (0.000, 0.500, 0.326)
Ir (0.500, 0.500, 0.827)
Rh (0.500, 0.000, 0.493)

Compound: Tc2IrRh
Source: the Alexandria database
Functional: SCAN
Structure: PBEsol geometry

Properties
- total energy (eV per atom) = -43.31
- total magnetization (μB per formula unit) = 0.00
- formation energy from the elements (eV per atom) = 0.434
- offset from the most stable computed form (kJ/mol of formula units) = 287
- DOS at the Fermi energy (states/eV per cell) = 21.16

Cell lengths 6.101, 6.101, 6.101 Å; angles 90.00, 90.00, 90.00 degrees
Fractional coordinates of all 16 atoms:
Tc (0.250, 0.250, 0.250)
Tc (0.250, 0.250, 0.750)
Tc (0.250, 0.750, 0.250)
Tc (0.250, 0.750, 0.750)
Tc (0.750, 0.250, 0.250)
Tc (0.750, 0.250, 0.750)
Tc (0.750, 0.750, 0.250)
Tc (0.750, 0.750, 0.750)
Ir (0.000, 0.000, 0.000)
Ir (0.000, 0.500, 0.500)
Ir (0.500, 0.000, 0.500)
Ir (0.500, 0.500, 0.000)
Rh (0.000, 0.000, 0.500)
Rh (0.000, 0.500, 0.000)
Rh (0.500, 0.000, 0.000)
Rh (0.500, 0.500, 0.500)

Compound: Ti2IrRh
Source: the Alexandria database
Functional: SCAN
Structure: PBEsol geometry

Properties
- total energy (eV per atom) = -35.19
- total magnetization (μB per formula unit) = 0.00
- formation energy from the elements (eV per atom) = -0.955
- DOS at the Fermi energy (states/eV per cell) = 18.34

Cell lengths 6.148, 6.148, 6.148 Å; angles 90.00, 90.00, 90.00 degrees
Fractional coordinates of all 16 atoms:
Ti (0.250, 0.250, 0.250)
Ti (0.250, 0.250, 0.750)
Ti (0.250, 0.750, 0.250)
Ti (0.250, 0.750, 0.750)
Ti (0.750, 0.250, 0.250)
Ti (0.750, 0.250, 0.750)
Ti (0.750, 0.750, 0.250)
Ti (0.750, 0.750, 0.750)
Ir (0.000, 0.000, 0.000)
Ir (0.000, 0.500, 0.500)
Ir (0.500, 0.000, 0.500)
Ir (0.500, 0.500, 0.000)
Rh (0.000, 0.000, 0.500)
Rh (0.000, 0.500, 0.000)
Rh (0.500, 0.000, 0.000)
Rh (0.500, 0.500, 0.500)

Compound: TlIr2Rh
Source: the Alexandria database
Functional: SCAN
Structure: PBEsol geometry

Properties
- total energy (eV per atom) = -61.64
- total magnetization (μB per formula unit) = 0.00
- formation energy from the elements (eV per atom) = 0.442
- offset from the most stable computed form (kJ/mol of formula units) = 44
- DOS at the Fermi energy (states/eV per cell) = 8.65

Cell lengths 2.840, 2.840, 26.965 Å; angles 90.00, 90.00, 120.00 degrees
Fractional coordinates of all 12 atoms:
Tl (0.000, 0.000, 0.000)
Tl (0.333, 0.667, 0.667)
Tl (0.667, 0.333, 0.333)
Ir (0.000, 0.000, 0.502)
Ir (0.000, 0.000, 0.757)
Ir (0.333, 0.667, 0.169)
Ir (0.333, 0.667, 0.424)
Ir (0.667, 0.333, 0.090)
Ir (0.667, 0.333, 0.835)
Rh (0.000, 0.000, 0.246)
Rh (0.333, 0.667, 0.913)
Rh (0.667, 0.333, 0.580)

Compound: TlIr3Rh
Source: the Alexandria database
Functional: SCAN
Structure: PBEsol geometry

Properties
- total energy (eV per atom) = -60.94
- total magnetization (μB per formula unit) = 4.76
- formation energy from the elements (eV per atom) = 2.946
- DOS at the Fermi energy (states/eV per cell) = 5.87

Cell lengths 4.828, 4.828, 4.828 Å; angles 90.00, 90.00, 90.00 degrees
Fractional coordinates of all 5 atoms:
Tl (0.000, 0.000, 0.000)
Ir (0.000, 0.000, 0.500)
Ir (0.000, 0.500, 0.000)
Ir (0.500, 0.000, 0.000)
Rh (0.500, 0.500, 0.500)

Compound: TlIr2Rh
Source: the Alexandria database
Functional: SCAN
Structure: PBEsol geometry

Properties
- total energy (eV per atom) = -61.72
- total magnetization (μB per formula unit) = 0.00
- formation energy from the elements (eV per atom) = 0.359
- offset from the most stable computed form (kJ/mol of formula units) = 12
- DOS at the Fermi energy (states/eV per cell) = 3.54

Cell lengths 2.820, 3.803, 5.854 Å; angles 90.00, 90.00, 90.00 degrees
Fractional coordinates of all 4 atoms:
Tl (0.000, 0.000, 0.000)
Ir (0.000, 0.000, 0.500)
Ir (0.500, 0.500, 0.293)
Rh (0.500, 0.500, 0.740)

Compound: TlIr2Rh
Source: the Alexandria database
Functional: SCAN
Structure: PBEsol geometry

Properties
- total energy (eV per atom) = -61.49
- total magnetization (μB per formula unit) = 0.00
- formation energy from the elements (eV per atom) = 0.588
- offset from the most stable computed form (kJ/mol of formula units) = 100
- DOS at the Fermi energy (states/eV per cell) = 2.93

Cell lengths 3.303, 3.303, 5.801 Å; angles 90.00, 90.00, 90.00 degrees
Fractional coordinates of all 4 atoms:
Tl (0.000, 0.000, 0.000)
Ir (0.500, 0.500, 0.273)
Ir (0.500, 0.500, 0.727)
Rh (0.000, 0.000, 0.500)

Compound: TlIr2Rh
Source: the Alexandria database
Functional: SCAN
Structure: PBEsol geometry

Properties
- total energy (eV per atom) = -61.62
- total magnetization (μB per formula unit) = 0.00
- formation energy from the elements (eV per atom) = 0.459
- offset from the most stable computed form (kJ/mol of formula units) = 50
- DOS at the Fermi energy (states/eV per cell) = 8.13

Cell lengths 2.779, 4.688, 9.692 Å; angles 90.00, 90.00, 90.00 degrees
Fractional coordinates of all 8 atoms:
Tl (0.000, 0.000, 0.000)
Tl (0.500, 0.500, 0.500)
Ir (0.000, 0.500, 0.234)
Ir (0.000, 0.500, 0.766)
Ir (0.500, 0.000, 0.266)
Ir (0.500, 0.000, 0.734)
Rh (0.000, 0.000, 0.500)
Rh (0.500, 0.500, 0.000)